No. 1
Below is a relaxed Tl2CdSb crystal, with properties calculated at the PBE level.

Its theoretical density is 9.1 Mg/m³. For the magnetization, the calculation gives 0.00 μB per cell. Its offset from the most stable computed form is 35 meV per atom. As for the density of states at the Fermi level: 1.4 states/eV/f.u.

It has space group Cm (No. 8), with a = 10.552 Å, b = 3.381 Å, c = 6.654 Å, α = 90.00°, β = 99.57° and γ = 90.00°. Symmetry generates all atoms from Tl at (0.000, 0.000, 0.000), Tl at (0.238, 0.000, 0.725), Cd at (0.495, 0.000, 0.481) and Sb at (0.254, 0.500, 0.275).

=====

No. 2
Below is a relaxed Th2ScGa4Ni3 crystal, with properties calculated at the PBE level.

Its theoretical density is 8.6 Mg/m³. For the magnetization, the calculation gives 0.00 μB per cell. The calculated formation energy is -536 kJ/mol of formula units. As for the density of states at the Fermi level: 6.9 states/eV/f.u.

It has space group P-4m2 (No. 115), with a = 4.090 Å, b = 4.090 Å, c = 11.161 Å, α = 90.00°, β = 90.00° and γ = 90.00°. Symmetry generates all atoms from Th at (0.000, 0.500, 0.224), Sc at (0.000, 0.000, 0.500), Ga at (0.000, 0.000, 0.000), Ga at (0.000, 0.500, 0.659), Ga at (0.500, 0.500, 0.000), Ni at (0.000, 0.500, 0.873) and Ni at (0.500, 0.500, 0.500).

=====

No. 3
Below is a relaxed FeAgBiSe2 crystal, with properties calculated at the PBE level.

Its theoretical density is 5.4 Mg/m³. For the magnetization, the calculation gives 3.76 μB per cell. As for the density of states at the Fermi level: 6.9 states/eV/f.u. Its total energy is -16.89 eV for the cell shown.

It has space group P4/mmm (No. 123), with a = 5.615 Å, b = 5.615 Å, c = 5.218 Å, α = 90.00°, β = 90.00° and γ = 90.00°. Symmetry generates all atoms from Fe at (0.000, 0.000, 0.000), Ag at (0.500, 0.500, 0.000), Bi at (0.500, 0.500, 0.500) and Se at (0.000, 0.500, 0.500).

=====

No. 4
Below is a relaxed Tb5CuRh4 crystal, with properties calculated at the PBE level.

Its theoretical density is 10.2 Mg/m³. For the magnetization, the calculation gives 0.00 μB per cell. The calculated formation energy is -697 kJ/mol of formula units. As for the density of states at the Fermi level: 7.9 states/eV/f.u.

It has space group P4/mmm (No. 123), with a = 3.446 Å, b = 3.446 Å, c = 17.388 Å, α = 90.00°, β = 90.00° and γ = 90.00°. Symmetry generates all atoms from Tb at (0.000, 0.000, 0.000), Tb at (0.000, 0.000, 0.199), Tb at (0.000, 0.000, 0.396), Cu at (0.500, 0.500, 0.500), Rh at (0.500, 0.500, 0.099) and Rh at (0.500, 0.500, 0.299).

=====

No. 5
Below is a relaxed AcNd2Ag9 crystal, with properties calculated at the PBE level.

Its theoretical density is 9.0 Mg/m³. For the magnetization, the calculation gives 0.00 μB per cell. The calculated formation energy is -207 kJ/mol of formula units. As for the density of states at the Fermi level: 8.7 states/eV/f.u.

It has space group R-3m (No. 166, hexagonal axes), with a = 5.8241 Å, b = 5.8241 Å, c = 27.8707 Å, α = 90.00°, β = 90.00° and γ = 120.00°. Symmetry generates all atoms from Ac at (0.0000, 0.0000, 0.0000), Nd at (0.0000, 0.0000, 0.1478), Ag at (0.0000, 0.0000, 0.3327), Ag at (0.0000, 0.0000, 0.5000) and Ag at (0.0013, 0.5006, 0.9158).

=====

No. 6
Below is a relaxed CaPm15Er4 crystal, with properties calculated at the PBE level.

Its theoretical density is 7.1 Mg/m³. For the magnetization, the calculation gives 0.00 μB per cell. The calculated formation energy is 48 kJ/mol of formula units. As for the density of states at the Fermi level: 28.3 states/eV/f.u.

It has space group P4/mmm (No. 123), with a = 5.139 Å, b = 5.139 Å, c = 25.591 Å, α = 90.00°, β = 90.00° and γ = 90.00°. Symmetry generates all atoms from Ca at (0.000, 0.000, 0.000), Pm at (0.000, 0.500, 0.104), Pm at (0.000, 0.500, 0.302), Pm at (0.000, 0.500, 0.500), Pm at (0.500, 0.500, 0.000), Pm at (0.500, 0.500, 0.202), Pm at (0.500, 0.500, 0.400), Er at (0.000, 0.000, 0.202) and Er at (0.000, 0.000, 0.401).

=====

No. 7
Below is a relaxed PmHfSe2 crystal, with properties calculated at the PBE level.

Its theoretical density is 8.7 Mg/m³. For the magnetization, the calculation gives 0.00 μB per cell. Its offset from the most stable computed form is 0 meV per atom. As for the density of states at the Fermi level: 2.9 states/eV/f.u.

It has space group R3m (No. 160, hexagonal axes), with a = 3.8632 Å, b = 3.8632 Å, c = 21.2694 Å, α = 90.00°, β = 90.00° and γ = 120.00°. Symmetry generates all atoms from Pm at (0.0000, 0.0000, 0.0000), Hf at (0.0000, 0.0000, 0.8284), Se at (0.0000, 0.0000, 0.2382) and Se at (0.0000, 0.0000, 0.4233).

=====

No. 8
Below is a relaxed Ba4CaPa3N8 crystal, with properties calculated at the PBE level.

Its theoretical density is 7.8 Mg/m³. For the magnetization, the calculation gives 0.00 μB per cell. As for the density of states at the Fermi level: 3.1 states/eV/f.u. Its total energy is -370.83 eV for the cell shown.

It has space group R-3m (No. 166, hexagonal axes), with a = 7.3208 Å, b = 7.3208 Å, c = 19.2388 Å, α = 90.00°, β = 90.00° and γ = 120.00°. Symmetry generates all atoms from Ba at (0.0000, 0.0000, 0.0000), Ba at (0.0000, 0.5000, 0.0000), Ca at (0.0000, 0.0000, 0.5000), Pa at (0.0000, 0.5000, 0.5000), N at (0.0000, 0.0000, 0.2274) and N at (0.0298, 0.5149, 0.7732).